First-principles (PBE with a Hubbard U) data for crystalline MgGa4FeO8 at its relaxed geometry, as listed in Alexandria.

The magnetization is 4.00 μB/f.u. The calculation puts the volume at 456 Å³/cell. The value obtained for the calculated total energy is -6.123 eV/atom. The value obtained for the density of states at the Fermi level is 0.2 states/eV/f.u.

The structure belongs to space group R3m (No. 160, hexagonal axes); the cell edges are 5.9969, 5.9969 and 14.6273 Å and the angles 90.00°, 90.00° and 120.00°. The distinct sites, in fractional coordinates, are Mg at (0.0000, 0.0000, 0.0000), Ga at (0.0000, 0.0000, 0.2404), Ga at (0.1711, 0.3421, 0.4532), Fe at (0.0000, 0.0000, 0.6225), O at (0.0000, 0.0000, 0.3756), O at (0.0000, 0.0000, 0.8633), O at (0.0207, 0.5104, 0.3804) and O at (0.1736, 0.3472, 0.1976).